#A
A relaxed structure of Y2AlPd3. Source: Alexandria, functional PBE.

Unit cell a=4.280 b=5.421 c=6.495 alpha=114.67 beta=109.24 gamma=90.00
Positions (direct):
1 Pd 0.000 0.000 0.000
2 Al 0.000 0.500 0.000
3 Pd 0.375 0.375 0.750
4 Y 0.313 0.813 0.626
5 Y 0.687 0.187 0.374
6 Pd 0.625 0.625 0.250

Values from the calculation:
SG: No. 71
Size of the total moment, μB per cell: 0.0

#B
A relaxed structure of Y2AlPd3. Source: Alexandria, functional PBE.

Unit cell a=5.604 b=5.604 c=8.414 alpha=90.00 beta=90.00 gamma=120.00
Positions (direct):
1 Y 0.667 0.333 0.445
2 Pd 0.167 0.335 0.250
3 Al 0.000 0.000 0.500
4 Pd 0.335 0.167 0.750
5 Al 0.000 0.000 0.000
6 Y 0.333 0.667 0.945
7 Pd 0.833 0.167 0.750
8 Pd 0.665 0.833 0.250
9 Pd 0.167 0.833 0.250
10 Y 0.667 0.333 0.055
11 Pd 0.833 0.665 0.750
12 Y 0.333 0.667 0.555

Values from the calculation:
SG: No. 194
Size of the total moment, μB per cell: 0.0

The calculated energies rank the structures as follows, beginning with the most stable: #B, #A.

#A
A relaxed structure of AlZn2Pd8. Source: Alexandria, functional PBE.

Unit cell a=4.069 b=6.084 c=7.196 alpha=105.30 beta=106.42 gamma=90.00
Positions (direct):
1 Pd 0.597 0.456 0.195
2 Pd 0.147 0.201 0.294
3 Pd 0.676 0.922 0.352
4 Pd 0.403 0.544 0.805
5 Zn 0.779 0.350 0.558
6 Al 0.500 0.000 0.000
7 Pd 0.041 0.736 0.082
8 Pd 0.324 0.078 0.648
9 Pd 0.853 0.799 0.706
10 Pd 0.959 0.264 0.918
11 Zn 0.221 0.650 0.442

Values from the calculation:
SG: No. 12
Size of the total moment, μB per cell: 0.0

#B
A relaxed structure of AlZn2Pd8. Source: Alexandria, functional PBE.

Unit cell a=4.138 b=6.984 c=7.099 alpha=119.46 beta=106.94 gamma=90.00
Positions (direct):
1 Pd 0.657 0.434 0.313
2 Pd 0.000 0.691 0.000
3 Pd 0.343 0.566 0.687
4 Pd 0.858 0.858 0.716
5 Zn 0.196 0.696 0.391
6 Zn 0.804 0.304 0.609
7 Pd 0.142 0.142 0.284
8 Pd 0.343 0.121 0.687
9 Pd 0.000 0.309 0.000
10 Pd 0.657 0.879 0.313
11 Al 0.500 0.000 0.000

Values from the calculation:
SG: No. 71
Size of the total moment, μB per cell: 0.0

The calculated energies rank the structures as follows, beginning with the most stable: #A, #B.

#A
A relaxed structure of AlZn2Pd3. Source: Alexandria, functional PBE.

Unit cell a=4.381 b=6.929 c=6.031 alpha=90.00 beta=90.00 gamma=71.57
Positions (direct):
1 Zn 0.334 0.332 0.500
2 Al 0.664 0.671 0.000
3 Zn 0.000 0.000 0.500
4 Zn 0.666 0.668 0.500
5 Pd 0.830 0.339 0.244
6 Pd 0.500 0.000 0.247
7 Pd 0.500 0.000 0.753
8 Al 0.336 0.329 0.000
9 Zn 0.000 0.000 0.000
10 Pd 0.170 0.661 0.244
11 Pd 0.170 0.661 0.756
12 Pd 0.830 0.339 0.756

Values from the calculation:
SG: No. 65
Size of the total moment, μB per cell: 0.0

#B
A relaxed structure of AlZn2Pd3. Source: Alexandria, functional PBE.

Unit cell a=4.335 b=4.335 c=5.325 alpha=90.00 beta=90.00 gamma=120.00
Positions (direct):
1 Pd 0.333 0.667 0.158
2 Al 0.000 0.000 0.000
3 Pd 0.000 0.000 0.500
4 Zn 0.333 0.667 0.659
5 Pd 0.667 0.333 0.842
6 Zn 0.667 0.333 0.341

Values from the calculation:
SG: No. 164
Size of the total moment, μB per cell: 0.0

The calculated energies rank the structures as follows, beginning with the most stable: #A, #B.

#A
A relaxed structure of AlZnPd3. Source: Alexandria, functional PBE.

Unit cell a=7.397 b=7.060 c=7.060 alpha=82.00 beta=65.49 gamma=65.49
Positions (direct):
1 Zn 0.724 0.195 0.586
2 Pd 0.400 0.263 0.965
3 Pd 0.900 0.965 0.263
4 Zn 0.776 0.414 0.805
5 Al 0.250 0.977 0.023
6 Pd 0.957 0.329 0.060
7 Pd 0.537 0.408 0.314
8 Zn 0.224 0.586 0.195
9 Pd 0.037 0.314 0.408
10 Pd 0.043 0.671 0.940
11 Al 0.750 0.662 0.338
12 Zn 0.276 0.805 0.414
13 Pd 0.100 0.035 0.737
14 Pd 0.600 0.737 0.035
15 Al 0.250 0.338 0.662
16 Al 0.750 0.023 0.977
17 Pd 0.543 0.940 0.671
18 Pd 0.963 0.686 0.592
19 Pd 0.463 0.592 0.686
20 Pd 0.457 0.060 0.329

Values from the calculation:
SG: No. 15
Size of the total moment, μB per cell: 0.0

#B
A relaxed structure of AlZnPd3. Source: Alexandria, functional PBE.

Unit cell a=4.538 b=4.538 c=4.538 alpha=90.00 beta=90.00 gamma=90.00
Positions (direct):
1 Zn 0.500 0.500 0.500
2 Pd 0.000 0.500 0.000
3 Pd 0.000 0.000 0.500
4 Pd 0.500 0.000 0.000
5 Al 0.000 0.000 0.000

Values from the calculation:
SG: No. 221
Size of the total moment, μB per cell: 0.0

The calculated energies rank the structures as follows, beginning with the most stable: #A, #B.

#A
A relaxed structure of Al2ZnPd2. Source: Alexandria, functional PBE.

Unit cell a=4.262 b=4.262 c=5.184 alpha=90.02 beta=90.02 gamma=59.99
Positions (direct):
1 Pd 0.833 0.333 0.165
2 Zn 0.500 0.000 0.000
3 Pd 0.167 0.667 0.835
4 Al 0.167 0.667 0.348
5 Al 0.833 0.333 0.652

Values from the calculation:
SG: No. 164
Size of the total moment, μB per cell: 0.0

#B
A relaxed structure of Al2ZnPd2. Source: Alexandria, functional PBE.

Unit cell a=3.705 b=3.705 c=6.634 alpha=73.78 beta=73.78 gamma=90.00
Positions (direct):
1 Al 0.250 0.750 0.500
2 Al 0.750 0.250 0.500
3 Pd 0.390 0.390 0.221
4 Zn 0.000 0.000 0.000
5 Pd 0.610 0.610 0.779

Values from the calculation:
SG: No. 139
Size of the total moment, μB per cell: 0.0

The calculated energies rank the structures as follows, beginning with the most stable: #A, #B.

#A
A relaxed structure of Al2ZnPd2. Source: Alexandria, functional PBE.

Unit cell a=7.089 b=7.089 c=3.080 alpha=90.00 beta=90.00 gamma=90.00
Positions (direct):
1 Al 0.147 0.647 0.500
2 Pd 0.850 0.650 0.000
3 Pd 0.650 0.150 0.000
4 Al 0.853 0.353 0.500
5 Zn 0.000 0.000 0.000
6 Pd 0.150 0.350 0.000
7 Zn 0.500 0.500 0.000
8 Pd 0.350 0.850 0.000
9 Al 0.647 0.853 0.500
10 Al 0.353 0.147 0.500

Values from the calculation:
SG: No. 127
Size of the total moment, μB per cell: 0.0

#B
A relaxed structure of Al2ZnPd2. Source: Alexandria, functional PBE.

Unit cell a=4.283 b=4.967 c=7.367 alpha=90.00 beta=106.90 gamma=90.00
Positions (direct):
1 Zn 0.369 0.025 0.738
2 Al 0.166 0.877 0.331
3 Pd 0.442 0.523 0.884
4 Pd 0.230 0.379 0.460
5 Pd 0.770 0.879 0.540
6 Zn 0.631 0.525 0.262
7 Al 0.958 0.830 0.915
8 Al 0.834 0.377 0.669
9 Al 0.042 0.330 0.085
10 Pd 0.558 0.023 0.116

Values from the calculation:
SG: No. 36
Size of the total moment, μB per cell: 0.0

#C
A relaxed structure of Al2ZnPd2. Source: Alexandria, functional PBE.

Unit cell a=7.129 b=7.129 c=3.013 alpha=90.00 beta=90.00 gamma=90.00
Positions (direct):
1 Zn 0.500 0.500 0.000
2 Pd 0.155 0.655 0.500
3 Zn 0.000 0.000 0.000
4 Al 0.640 0.140 0.000
5 Al 0.140 0.360 0.000
6 Pd 0.345 0.155 0.500
7 Al 0.360 0.860 0.000
8 Pd 0.845 0.345 0.500
9 Al 0.860 0.640 0.000
10 Pd 0.655 0.845 0.500

Values from the calculation:
SG: No. 127
Size of the total moment, μB per cell: 0.0

The calculated energies rank the structures as follows, beginning with the most stable: #A, #B, #C.